No. 1
The following is a DFT calculation (PBE) of crystalline Ba6Au2Se at its relaxed geometry.

Values from the calculation:
Crystal system = orthorhombic
Space-group type = Pnnm

Cell lengths 7.6917, 8.2590, 14.1187 Å; angles 90.00, 90.00, 90.00 degrees
Closest atoms and distances in Å follow each position.
Sites, in units of the cell vectors:
Ba 0.2338 0.1635 0.0000  1 Se 3.31, 2 Au 3.32
Ba 0.2469 0.6686 0.1643  1 Se 3.30, 2 Au 3.32-3.33
Ba 0.2469 0.6686 0.8357  1 Se 3.30, 2 Au 3.32-3.33
Ba 0.2531 0.1686 0.3357  1 Se 3.30, 2 Au 3.32-3.33
Ba 0.2531 0.1686 0.6643  1 Se 3.30, 2 Au 3.32-3.33
Ba 0.2662 0.6635 0.5000  1 Se 3.31, 2 Au 3.32
Ba 0.7338 0.3365 0.5000  1 Se 3.31, 2 Au 3.32
Ba 0.7469 0.8314 0.3357  1 Se 3.30, 2 Au 3.32-3.33
Ba 0.7469 0.8314 0.6643  1 Se 3.30, 2 Au 3.32-3.33
Ba 0.7531 0.3314 0.1643  1 Se 3.30, 2 Au 3.32-3.33
Ba 0.7531 0.3314 0.8357  1 Se 3.30, 2 Au 3.32-3.33
Ba 0.7662 0.8365 0.0000  1 Se 3.31, 2 Au 3.32
Au 0.0000 0.0000 0.1730  6 Ba 3.32-3.33
Au 0.0000 0.0000 0.8270  6 Ba 3.32-3.33
Au 0.5000 0.5000 0.3270  6 Ba 3.32-3.33
Au 0.5000 0.5000 0.6730  6 Ba 3.32-3.33
Se 0.0000 0.5000 0.0000  6 Ba 3.30-3.31
Se 0.5000 0.0000 0.5000  6 Ba 3.30-3.31

***

No. 2
The following is a DFT calculation (PBE) of crystalline Ba4Au2Se at its relaxed geometry.

Values from the calculation:
Crystal system = tetragonal
Space-group type = I4/mmm

Cell lengths 9.1101, 9.1101, 9.1101 Å; angles 139.12, 139.12, 59.20 degrees
Closest atoms and distances in Å follow each position.
Sites, in units of the cell vectors:
Ba 0.0000 0.5000 0.5000  2 Se 3.18, 4 Au 3.49
Ba 0.2073 0.2073 0.0000  1 Au 3.20, 1 Se 3.28
Ba 0.5000 0.0000 0.5000  2 Se 3.18, 4 Au 3.49
Ba 0.7927 0.7927 0.0000  1 Au 3.20, 1 Se 3.28
Au 0.4096 0.4096 0.0000  1 Au 2.87, 1 Ba 3.20
Au 0.5904 0.5904 0.0000  1 Au 2.87, 1 Ba 3.20
Se 0.0000 0.0000 0.0000  6 Ba 3.18-3.28

***

No. 3
The following is a DFT calculation (PBE) of crystalline BaAu4Se at its relaxed geometry.

Values from the calculation:
Crystal system = cubic
Space-group type = F-43m

Cell lengths 5.7777, 5.7777, 5.7777 Å; angles 60.00, 60.00, 60.00 degrees
Closest atoms and distances in Å follow each position.
Sites, in units of the cell vectors:
Ba 0.0000 0.0000 0.0000  12 Au 3.39, 4 Se 3.54
Au 0.3754 0.3754 0.3754  6 Au 2.88-2.90
Au 0.3754 0.3754 0.8739  6 Au 2.88-2.90
Au 0.3754 0.8739 0.3754  6 Au 2.88-2.90
Au 0.8739 0.3754 0.3754  6 Au 2.88-2.90
Se 0.7500 0.7500 0.7500  12 Au 3.39, 4 Ba 3.54

***

No. 4
The following is a DFT calculation (PBE) of crystalline BaAu3Se at its relaxed geometry.

Values from the calculation:
Crystal system = cubic
Distance to the lowest polymorph of the same formula = 0.000 eV per atom
Space-group type = Pm-3m

Cell lengths 5.2000, 5.2000, 5.2000 Å; angles 90.00, 90.00, 90.00 degrees
Closest atoms and distances in Å follow each position.
Sites, in units of the cell vectors:
Ba 0.0000 0.0000 0.0000  12 Au 3.68
Au 0.0000 0.5000 0.5000  2 Se 2.60
Au 0.5000 0.0000 0.5000  2 Se 2.60
Au 0.5000 0.5000 0.0000  2 Se 2.60
Se 0.5000 0.5000 0.5000  6 Au 2.60

***

No. 5
The following is a DFT calculation (PBE) of crystalline BaAuSe2 at its relaxed geometry.

Values from the calculation:
Crystal system = monoclinic
Distance to the lowest polymorph of the same formula = 0.089 eV per atom
Space-group type = C2/m

Cell lengths 4.8444, 4.8444, 5.8700 Å; angles 110.40, 110.40, 79.20 degrees
Closest atoms and distances in Å follow each position.
Sites, in units of the cell vectors:
Ba 0.0000 0.0000 0.0000  6 Se 3.28-3.43, 2 Au 3.55
Au 0.5000 0.5000 0.5000  2 Se 2.43
Se 0.3146 0.3146 0.7501  1 Au 2.43
Se 0.6854 0.6854 0.2499  1 Au 2.43

***

No. 6
The following is a DFT calculation (PBE) of crystalline BaAu2Se at its relaxed geometry.

Values from the calculation:
Crystal system = trigonal
Space-group type = R-3m

Cell lengths 6.0154, 6.0154, 6.0154 Å; angles 48.08, 48.08, 48.08 degrees
Closest atoms and distances in Å follow each position.
Sites, in units of the cell vectors:
Ba 0.0000 0.0000 0.0000  8 Au 3.32-3.46
Au 0.2086 0.2086 0.2086  3 Se 2.91, 3 Au 3.13
Au 0.7914 0.7914 0.7914  3 Se 2.91, 3 Au 3.13
Se 0.5000 0.5000 0.5000  6 Au 2.91

***

No. 7
The following is a DFT calculation (PBE) of crystalline BaAuSe2 at its relaxed geometry.

Values from the calculation:
Crystal system = monoclinic
Distance to the lowest polymorph of the same formula = 0.000 eV per atom
Space-group type = Pm

Cell lengths 4.4411, 5.0758, 5.3310 Å; angles 90.00, 90.18, 90.00 degrees
Closest atoms and distances in Å follow each position.
Sites, in units of the cell vectors:
Ba 0.0000 0.0000 0.0000  8 Se 3.30-3.54
Au 0.5893 0.5000 0.4966  4 Se 2.59-2.68
Se 0.4786 0.0000 0.5015  2 Au 2.59
Se 0.5258 0.5000 0.9970  2 Au 2.68

***

No. 8
The following is a DFT calculation (PBE) of crystalline BaAuSe2 at its relaxed geometry.

Values from the calculation:
Crystal system = trigonal
Distance to the lowest polymorph of the same formula = 0.167 eV per atom
Space-group type = R-3m

Cell lengths 7.6657, 7.6657, 7.6657 Å; angles 41.17, 41.17, 41.17 degrees
Closest atoms and distances in Å follow each position.
Sites, in units of the cell vectors:
Ba 0.0000 0.0000 0.0000  6 Se 3.31
Au 0.5000 0.5000 0.5000  2 Se 2.39
Se 0.3864 0.3864 0.3864  1 Au 2.39
Se 0.6136 0.6136 0.6136  1 Au 2.39

***

No. 9
The following is a DFT calculation (PBE) of crystalline BaAuSe2 at its relaxed geometry.

Values from the calculation:
Crystal system = orthorhombic
Distance to the lowest polymorph of the same formula = 0.055 eV per atom
Space-group type = Pmmm

Cell lengths 3.9974, 4.4947, 6.7507 Å; angles 90.00, 90.00, 90.00 degrees
Closest atoms and distances in Å follow each position.
Sites, in units of the cell vectors:
Ba 0.0000 0.0000 0.0000  8 Se 3.43
Au 0.0000 0.5000 0.5000  4 Se 2.64
Se 0.5000 0.5000 0.2435  2 Au 2.64
Se 0.5000 0.5000 0.7565  2 Au 2.64

***

No. 10
The following is a DFT calculation (PBE) of crystalline BaAuSe3 at its relaxed geometry.

Values from the calculation:
Crystal system = cubic
Distance to the lowest polymorph of the same formula = 0.172 eV per atom
Space-group type = Pm-3m

Cell lengths 5.2095, 5.2095, 5.2095 Å; angles 90.00, 90.00, 90.00 degrees
Closest atoms and distances in Å follow each position.
Sites, in units of the cell vectors:
Ba 0.0000 0.0000 0.0000  12 Se 3.68
Au 0.5000 0.5000 0.5000  6 Se 2.60
Se 0.0000 0.5000 0.5000  2 Au 2.60
Se 0.5000 0.0000 0.5000  2 Au 2.60
Se 0.5000 0.5000 0.0000  2 Au 2.60

***

No. 11
The following is a DFT calculation (PBE) of crystalline Ba8Au2Se at its relaxed geometry.

Values from the calculation:
Crystal system = triclinic
Space-group type = P-1

Cell lengths 6.9146, 10.2360, 10.2415 Å; angles 60.08, 89.99, 90.00 degrees
Closest atoms and distances in Å follow each position.
Sites, in units of the cell vectors:
Ba 0.2456 0.3333 0.3336  2 Au 3.45-3.46
Ba 0.2490 0.3085 0.8447  1 Au 3.18, 1 Se 3.24
Ba 0.2490 0.8442 0.8471  1 Au 3.18, 1 Se 3.24
Ba 0.2490 0.8473 0.3084  1 Au 3.18, 1 Se 3.24
Ba 0.7510 0.1527 0.6916  1 Au 3.18, 1 Se 3.24
Ba 0.7510 0.1558 0.1529  1 Au 3.18, 1 Se 3.24
Ba 0.7510 0.6915 0.1553  1 Au 3.18, 1 Se 3.24
Ba 0.7544 0.6667 0.6664  2 Au 3.45-3.46
Au 0.2554 0.6666 0.6663  5 Ba 3.18-3.46
Au 0.7446 0.3334 0.3337  5 Ba 3.18-3.46
Se 0.5000 0.0000 0.0000  6 Ba 3.24

***

No. 12
The following is a DFT calculation (PBE) of crystalline BaAuSe2 at its relaxed geometry.

Values from the calculation:
Crystal system = orthorhombic
Distance to the lowest polymorph of the same formula = 0.377 eV per atom
Space-group type = Cmmm

Cell lengths 4.4098, 4.4098, 7.6425 Å; angles 90.00, 90.00, 121.58 degrees
Closest atoms and distances in Å follow each position.
Sites, in units of the cell vectors:
Ba 0.0000 0.0000 0.0000  4 Se 3.09
Au 0.0000 0.0000 0.5000  4 Se 2.68
Se 0.5000 0.5000 0.2902  2 Au 2.68
Se 0.5000 0.5000 0.7098  2 Au 2.68

***

Per-record energy relative to the elements, uncorrected, meV per atom: -750, -817, -448, -250, -913, -506, -1002, -835, -947, -644, -457, -625
Per-record total magnetic moment, μB/f.u.: 0.10, 0.00, 0.00, 0.00, 0.00, 0.00, 0.00, 0.00, 0.00, 0.00, 1.75, 0.00